<1>
# Y2CrN3

A relaxed Y2CrN3 crystal (GGA-PBEsol, Alexandria).

Summary:
The value obtained for the density of states at the Fermi level is 0.504 states/eV per atom. As for the symmetry: Immm, No. 71.

Unit cell a=6.5905 b=6.5905 c=6.5905 alpha=150.90 beta=147.78 gamma=43.96
Sites, in units of the cell vectors:
Y1 0.1488 0.1488 0.0000
Y2 0.8512 0.8512 0.0000
Cr1 0.5000 0.5000 0.0000
N1 0.0000 0.5000 0.5000
N2 0.3394 0.3394 0.0000
N3 0.6606 0.6606 0.0000

---

<2>
# Y2CrN3

A relaxed Y2CrN3 crystal (GGA-PBEsol, Alexandria).

Summary:
The value obtained for the density of states at the Fermi level is 0.609 states/eV per atom. As for the symmetry: C2/c, No. 15.

Unit cell a=5.7896 b=5.7896 c=11.2745 alpha=92.06 beta=92.06 gamma=128.01
Sites, in units of the cell vectors:
Y1 0.0247 0.4308 0.3533
Y2 0.1266 0.3423 0.9273
Y3 0.3423 0.1266 0.4273
Y4 0.4308 0.0247 0.8533
Y5 0.5692 0.9753 0.1467
Y6 0.6577 0.8734 0.5727
Y7 0.8734 0.6577 0.0727
Y8 0.9753 0.5692 0.6467
Cr1 0.2860 0.2943 0.1724
Cr2 0.2943 0.2860 0.6724
Cr3 0.7057 0.7140 0.3276
Cr4 0.7140 0.7057 0.8276
N1 0.0044 0.9956 0.7500
N2 0.1233 0.4799 0.1309
N3 0.1482 0.3398 0.5365
N4 0.3398 0.1482 0.0365
N5 0.3742 0.6258 0.7500
N6 0.4799 0.1233 0.6309
N7 0.5201 0.8767 0.3691
N8 0.6258 0.3742 0.2500
N9 0.6602 0.8518 0.9635
N10 0.8518 0.6602 0.4635
N11 0.8767 0.5201 0.8691
N12 0.9956 0.0044 0.2500

---

Quick one: most stable of them? <2>

---

<1>
# NaCr3O8

A relaxed NaCr3O8 crystal (GGA-PBEsol, Alexandria).

Summary:
The value obtained for the density of states at the Fermi level is 0.024 states/eV per atom. As for the symmetry: C2/m, No. 12.

Unit cell a=5.0308 b=5.0308 c=6.8180 alpha=90.24 beta=90.24 gamma=65.46
Sites, in units of the cell vectors:
Na1 0.0000 0.0000 0.0000
Cr1 0.0000 0.0000 0.5000
Cr2 0.3588 0.3588 0.7242
Cr3 0.6412 0.6412 0.2758
O1 0.2153 0.7258 0.7007
O2 0.2192 0.2192 0.5548
O3 0.2742 0.7847 0.2993
O4 0.2828 0.2828 0.9384
O5 0.7172 0.7172 0.0616
O6 0.7258 0.2153 0.7007
O7 0.7808 0.7808 0.4452
O8 0.7847 0.2742 0.2993

---

<2>
# NaCr3O8

A relaxed NaCr3O8 crystal (GGA-PBEsol, Alexandria).

Summary:
The value obtained for the density of states at the Fermi level is 0.004 states/eV per atom. As for the symmetry: Pnnm, No. 58.

Unit cell a=6.4226 b=8.6927 c=5.4599 alpha=90.00 beta=90.00 gamma=90.00
Sites, in units of the cell vectors:
Na1 0.0000 0.0000 0.0000
Na2 0.5000 0.5000 0.5000
Cr1 0.0000 0.5000 0.5000
Cr2 0.2004 0.3394 0.0000
Cr3 0.2996 0.8394 0.5000
Cr4 0.5000 0.0000 0.0000
Cr5 0.7004 0.1606 0.5000
Cr6 0.7996 0.6606 0.0000
O1 0.0177 0.7444 0.0000
O2 0.1061 0.7105 0.5000
O3 0.2069 0.4514 0.2529
O4 0.2069 0.4514 0.7471
O5 0.2931 0.9514 0.2471
O6 0.2931 0.9514 0.7529
O7 0.3939 0.2105 0.0000
O8 0.4823 0.2444 0.5000
O9 0.5177 0.7556 0.5000
O10 0.6061 0.7895 0.0000
O11 0.7069 0.0486 0.2471
O12 0.7069 0.0486 0.7529
O13 0.7931 0.5486 0.2529
O14 0.7931 0.5486 0.7471
O15 0.8939 0.2895 0.5000
O16 0.9823 0.2556 0.0000

---

Quick one: most stable of them? <1>

---

<1>
# Na3CrSi

A relaxed Na3CrSi crystal (GGA-PBEsol, Alexandria).

Summary:
The value obtained for the density of states at the Fermi level is 0.556 states/eV per atom. As for the symmetry: Pm-3m, No. 221.

Unit cell a=5.4886 b=5.4886 c=5.4886 alpha=90.00 beta=90.00 gamma=90.00
Sites, in units of the cell vectors:
Na1 0.0000 0.0000 0.5000
Na2 0.0000 0.5000 0.0000
Na3 0.5000 0.0000 0.0000
Cr1 0.5000 0.5000 0.5000
Si1 0.0000 0.0000 0.0000

---

<2>
# Na3CrSi

A relaxed Na3CrSi crystal (GGA-PBEsol, Alexandria).

Summary:
The value obtained for the density of states at the Fermi level is 0.632 states/eV per atom. As for the symmetry: Pm-3m, No. 221.

Unit cell a=5.4452 b=5.4452 c=5.4452 alpha=90.00 beta=90.00 gamma=90.00
Sites, in units of the cell vectors:
Na1 0.0000 0.0000 0.5000
Na2 0.0000 0.5000 0.0000
Na3 0.5000 0.0000 0.0000
Cr1 0.0000 0.0000 0.0000
Si1 0.5000 0.5000 0.5000

---

Quick one: most stable of them? <1>

---

<1>
# CrRe2Ni

A relaxed CrRe2Ni crystal (GGA-PBEsol, Alexandria).

Summary:
The value obtained for the density of states at the Fermi level is 0.752 states/eV per atom. As for the symmetry: I-4m2, No. 119.

Unit cell a=4.5281 b=4.5281 c=4.5281 alpha=131.40 beta=131.40 gamma=71.18
Sites, in units of the cell vectors:
Cr1 0.0000 0.0000 0.0000
Re1 0.5000 0.5000 0.0000
Re2 0.7500 0.2500 0.5000
Ni1 0.2500 0.7500 0.5000

---

<2>
# CrRe2Ni

A relaxed CrRe2Ni crystal (GGA-PBEsol, Alexandria).

Summary:
The value obtained for the density of states at the Fermi level is 1.224 states/eV per atom. As for the symmetry: Fm-3m, No. 225.

Unit cell a=4.1617 b=4.1617 c=4.1617 alpha=60.00 beta=60.00 gamma=60.00
Sites, in units of the cell vectors:
Cr1 0.0000 0.0000 0.0000
Re1 0.2500 0.2500 0.2500
Re2 0.7500 0.7500 0.7500
Ni1 0.5000 0.5000 0.5000

---

Quick one: most stable of them? <1>

---

<1>
# CrRe2Ni

A relaxed CrRe2Ni crystal (GGA-PBEsol, Alexandria).

Summary:
The value obtained for the density of states at the Fermi level is 0.852 states/eV per atom. As for the symmetry: F-43m, No. 216.

Unit cell a=4.2004 b=4.2004 c=4.2004 alpha=60.00 beta=60.00 gamma=60.00
Sites, in units of the cell vectors:
Cr1 0.0000 0.0000 0.0000
Re1 0.2500 0.2500 0.2500
Re2 0.5000 0.5000 0.5000
Ni1 0.7500 0.7500 0.7500

---

<2>
# CrRe2Ni

A relaxed CrRe2Ni crystal (GGA-PBEsol, Alexandria).

Summary:
The value obtained for the density of states at the Fermi level is 1.062 states/eV per atom. As for the symmetry: Cm, No. 8.

Unit cell a=4.5218 b=4.5218 c=4.4960 alpha=100.03 beta=100.03 gamma=34.60
Sites, in units of the cell vectors:
Cr1 0.0000 0.0000 0.0000
Re1 0.5048 0.5048 0.5207
Re2 0.7485 0.7485 0.2464
Ni1 0.2542 0.2542 0.7602

---

Quick one: most stable of them? <2>

---

<1>
# CrNiSb2

A relaxed CrNiSb2 crystal (GGA-PBEsol, Alexandria).

Summary:
The value obtained for the density of states at the Fermi level is 0.597 states/eV per atom. As for the symmetry: Imm2, No. 44.

Unit cell a=6.4819 b=6.4819 c=6.4819 alpha=152.48 beta=144.63 gamma=45.39
Sites, in units of the cell vectors:
Cr1 0.0000 0.0000 0.0000
Ni1 0.2073 0.7073 0.5000
Sb1 0.3922 0.3922 0.0000
Sb2 0.6531 0.1531 0.5000

---

<2>
# CrNiSb2

A relaxed CrNiSb2 crystal (GGA-PBEsol, Alexandria).

Summary:
The value obtained for the density of states at the Fermi level is 0.677 states/eV per atom. As for the symmetry: P4/mmm, No. 123.

Unit cell a=4.6238 b=4.6238 c=3.1805 alpha=90.00 beta=90.00 gamma=90.00
Sites, in units of the cell vectors:
Cr1 0.0000 0.0000 0.0000
Ni1 0.5000 0.5000 0.0000
Sb1 0.0000 0.5000 0.5000
Sb2 0.5000 0.0000 0.5000

---

<3>
# CrNiSb2

A relaxed CrNiSb2 crystal (GGA-PBEsol, Alexandria).

Summary:
The value obtained for the density of states at the Fermi level is 0.682 states/eV per atom. As for the symmetry: P-3m1, No. 164.

Unit cell a=3.9571 b=3.9571 c=5.3439 alpha=90.00 beta=90.00 gamma=120.00
Sites, in units of the cell vectors:
Cr1 0.0000 0.0000 0.0000
Ni1 0.0000 0.0000 0.5000
Sb1 0.3333 0.6667 0.2660
Sb2 0.6667 0.3333 0.7340

---

<4>
# CrNiSb2

A relaxed CrNiSb2 crystal (GGA-PBEsol, Alexandria).

Summary:
The value obtained for the density of states at the Fermi level is 0.842 states/eV per atom. As for the symmetry: Amm2, No. 38.

Unit cell a=3.9092 b=5.1929 c=5.1929 alpha=40.06 beta=90.00 gamma=90.00
Sites, in units of the cell vectors:
Cr1 0.0000 0.0000 0.0000
Ni1 0.5000 0.1621 0.1621
Sb1 0.0000 0.7171 0.7171
Sb2 0.5000 0.4325 0.4325

---

Quick one: most stable of them? <3>

---

<1>
# CrNiSe

A relaxed CrNiSe crystal (GGA-PBEsol, Alexandria).

Summary:
The value obtained for the density of states at the Fermi level is 0.863 states/eV per atom. As for the symmetry: I4mm, No. 107.

Unit cell a=4.3636 b=4.3636 c=4.3636 alpha=135.55 beta=135.55 gamma=64.68
Sites, in units of the cell vectors:
Cr1 0.0000 0.0000 0.0000
Ni1 0.6538 0.6538 0.0000
Se1 0.3380 0.3380 0.0000

---

<2>
# CrNiSe

A relaxed CrNiSe crystal (GGA-PBEsol, Alexandria).

Summary:
The value obtained for the density of states at the Fermi level is 0.541 states/eV per atom. As for the symmetry: P3m1, No. 156.

Unit cell a=3.8655 b=3.8655 c=3.2861 alpha=90.00 beta=90.00 gamma=120.00
Sites, in units of the cell vectors:
Cr1 0.0000 0.0000 0.0000
Ni1 0.3333 0.6667 0.4741
Se1 0.6667 0.3333 0.5400

---

Quick one: most stable of them? <2>

---

<1>
# CrTcNi2

A relaxed CrTcNi2 crystal (GGA-PBEsol, Alexandria).

Summary:
The value obtained for the density of states at the Fermi level is 1.615 states/eV per atom. As for the symmetry: F-43m, No. 216.

Unit cell a=4.0295 b=4.0295 c=4.0295 alpha=60.00 beta=60.00 gamma=60.00
Sites, in units of the cell vectors:
Cr1 0.0000 0.0000 0.0000
Tc1 0.7500 0.7500 0.7500
Ni1 0.2500 0.2500 0.2500
Ni2 0.5000 0.5000 0.5000

---

<2>
# CrTcNi2

A relaxed CrTcNi2 crystal (GGA-PBEsol, Alexandria).

Summary:
The value obtained for the density of states at the Fermi level is 1.324 states/eV per atom. As for the symmetry: P4/mmm, No. 123.

Unit cell a=3.4900 b=3.4900 c=3.7528 alpha=90.00 beta=90.00 gamma=90.00
Sites, in units of the cell vectors:
Cr1 0.0000 0.0000 0.0000
Tc1 0.5000 0.5000 0.0000
Ni1 0.0000 0.5000 0.5000
Ni2 0.5000 0.0000 0.5000

---

Quick one: most stable of them? <2>

---

<1>
# CrTcNi2

A relaxed CrTcNi2 crystal (GGA-PBEsol, Alexandria).

Summary:
The value obtained for the density of states at the Fermi level is 1.318 states/eV per atom. As for the symmetry: I4/mmm, No. 139.

Unit cell a=4.4964 b=4.4964 c=4.4964 alpha=134.44 beta=134.44 gamma=66.40
Sites, in units of the cell vectors:
Cr1 0.0000 0.0000 0.0000
Tc1 0.5000 0.5000 0.0000
Ni1 0.2500 0.7500 0.5000
Ni2 0.7500 0.2500 0.5000

---

<2>
# CrTcNi2

A relaxed CrTcNi2 crystal (GGA-PBEsol, Alexandria).

Summary:
The value obtained for the density of states at the Fermi level is 1.000 states/eV per atom. As for the symmetry: Pmm2, No. 25.

Unit cell a=2.5001 b=4.0694 c=4.4803 alpha=90.00 beta=90.00 gamma=90.00
Sites, in units of the cell vectors:
Cr1 0.0000 0.0000 0.0000
Tc1 0.0000 0.5000 0.6776
Ni1 0.5000 0.0000 0.4851
Ni2 0.5000 0.5000 0.1801

---

<3>
# CrTcNi2

A relaxed CrTcNi2 crystal (GGA-PBEsol, Alexandria).

Summary:
The value obtained for the density of states at the Fermi level is 1.058 states/eV per atom. As for the symmetry: Cm, No. 8.

Unit cell a=4.3419 b=4.3419 c=4.5017 alpha=97.48 beta=97.48 gamma=33.08
Sites, in units of the cell vectors:
Cr1 0.0000 0.0000 0.0000
Tc1 0.7602 0.7602 0.2689
Ni1 0.2578 0.2578 0.7634
Ni2 0.5081 0.5081 0.5255

---

<4>
# CrTcNi2

A relaxed CrTcNi2 crystal (GGA-PBEsol, Alexandria).

Summary:
The value obtained for the density of states at the Fermi level is 1.581 states/eV per atom. As for the symmetry: P4/mmm, No. 123.

Unit cell a=2.4838 b=2.4838 c=7.4027 alpha=90.00 beta=90.00 gamma=90.00
Sites, in units of the cell vectors:
Cr1 0.0000 0.0000 0.0000
Tc1 0.0000 0.0000 0.5000
Ni1 0.5000 0.5000 0.2381
Ni2 0.5000 0.5000 0.7619

---

Quick one: most stable of them? <2>

---

<1>
# CrNiTe

A relaxed CrNiTe crystal (GGA-PBEsol, Alexandria).

Summary:
The value obtained for the density of states at the Fermi level is 0.425 states/eV per atom. As for the symmetry: F-43m, No. 216.

Unit cell a=4.1604 b=4.1604 c=4.1604 alpha=60.00 beta=60.00 gamma=60.00
Sites, in units of the cell vectors:
Cr1 0.0000 0.0000 0.0000
Ni1 0.2500 0.2500 0.2500
Te1 0.5000 0.5000 0.5000

---

<2>
# CrNiTe

A relaxed CrNiTe crystal (GGA-PBEsol, Alexandria).

Summary:
The value obtained for the density of states at the Fermi level is 0.460 states/eV per atom. As for the symmetry: P3m1, No. 156.

Unit cell a=4.0538 b=4.0538 c=3.4961 alpha=90.00 beta=90.00 gamma=120.00
Sites, in units of the cell vectors:
Cr1 0.0000 0.0000 0.0000
Ni1 0.3333 0.6667 0.3916
Te1 0.6667 0.3333 0.5501

---

Quick one: most stable of them? <1>

---

<1>
# TlCrNi

A relaxed TlCrNi crystal (GGA-PBEsol, Alexandria).

Summary:
The value obtained for the density of states at the Fermi level is 0.892 states/eV per atom. As for the symmetry: F-43m, No. 216.

Unit cell a=4.2386 b=4.2386 c=4.2386 alpha=60.00 beta=60.00 gamma=60.00
Sites, in units of the cell vectors:
Tl1 0.0000 0.0000 0.0000
Cr1 0.7500 0.7500 0.7500
Ni1 0.5000 0.5000 0.5000

---

<2>
# TlCrNi

A relaxed TlCrNi crystal (GGA-PBEsol, Alexandria).

Summary:
The value obtained for the density of states at the Fermi level is 0.819 states/eV per atom. As for the symmetry: I4mm, No. 107.

Unit cell a=4.9529 b=4.9529 c=4.9529 alpha=141.94 beta=141.94 gamma=54.91
Sites, in units of the cell vectors:
Tl1 0.0000 0.0000 0.0000
Cr1 0.3119 0.3119 0.0000
Ni1 0.6746 0.6746 0.0000

---

Quick one: most stable of them? <2>

---

<1>
# TlCr2Ni

A relaxed TlCr2Ni crystal (GGA-PBEsol, Alexandria).

Summary:
The value obtained for the density of states at the Fermi level is 0.805 states/eV per atom. As for the symmetry: P4mm, No. 99.

Unit cell a=3.0390 b=3.0390 c=6.0330 alpha=90.00 beta=90.00 gamma=90.00
Sites, in units of the cell vectors:
Tl1 0.0000 0.0000 0.0000
Cr1 0.0000 0.0000 0.4970
Cr2 0.5000 0.5000 0.3190
Ni1 0.5000 0.5000 0.7358

---

<2>
# TlCr2Ni

A relaxed TlCr2Ni crystal (GGA-PBEsol, Alexandria).

Summary:
The value obtained for the density of states at the Fermi level is 1.465 states/eV per atom. As for the symmetry: P4/mmm, No. 123.

Unit cell a=2.9989 b=2.9989 c=6.7059 alpha=90.00 beta=90.00 gamma=90.00
Sites, in units of the cell vectors:
Tl1 0.0000 0.0000 0.0000
Cr1 0.5000 0.5000 0.2956
Cr2 0.5000 0.5000 0.7044
Ni1 0.0000 0.0000 0.5000

---

Quick one: most stable of them? <1>